# 1
Entry from the Alexandria database: an optimized crystal structure of BaTlP2 (GGA-PBE).

The crystal system is tetragonal. As for the volume: 30.7 A^3/atom. The calculation puts the relative energy among the computed polymorphs at 41.45 kJ/mol of atoms. The calculation puts the calculated formation energy at 0.012 eV/atom. The value obtained for the density of states at the Fermi level is 1.069 states/eV per atom.

It has space group P4mm (No. 99), with a = 4.244 Å, b = 4.244 Å, c = 6.828 Å, α = 90.00°, β = 90.00° and γ = 90.00°. The inequivalent atoms are Ba at (0.000, 0.000, 0.000), Tl at (0.500, 0.500, 0.498), P at (0.000, 0.000, 0.521) and P at (0.500, 0.500, 0.116).

# 2
Entry from the Alexandria database: an optimized crystal structure of Ba5TlP (GGA-PBE).

The crystal system is monoclinic. As for the volume: 50.5 A^3/atom. The calculation puts the calculated formation energy at -0.412 eV/atom. The value obtained for the density of states at the Fermi level is 0.791 states/eV per atom.

It has space group C2/c (No. 15), with a = 10.019 Å, b = 13.195 Å, c = 11.047 Å, α = 90.00°, β = 104.40° and γ = 90.00°. The inequivalent atoms are Ba at (0.000, 0.115, 0.250), Ba at (0.137, 0.199, 0.628), Ba at (0.188, 0.432, 0.982), Tl at (0.000, 0.390, 0.250) and P at (0.000, 0.000, 0.000).